Cd2CuI6 (PBE, optimized geometry); DOS at the Fermi energy = 0.479 states/eV per atom; formation energy without anion corrections = -390 meV/atom; SG = C2/c
1.0
-7.4405 -1.5247 0.2310
-2.4217 -5.3681 -9.0734
-1.1336 -9.5203 5.0088
Cd Cu I
4 2 12
direct
0.1225 0.6180 0.7987
0.3775 0.2013 0.3820
0.8775 0.3820 0.2013
0.6225 0.7987 0.6180
0.2500 0.1957 0.8043
0.7500 0.8043 0.1957
0.3155 0.7316 0.5710
0.1845 0.4290 0.2684
0.6845 0.2684 0.4290
0.8155 0.5710 0.7316
0.8787 0.8460 0.3800
0.6213 0.6200 0.1540
0.1213 0.1540 0.6200
0.3787 0.3800 0.8460
0.0632 0.7851 0.0068
0.4368 0.9932 0.2149
0.9368 0.2149 0.9932
0.5632 0.0068 0.7851